CsPtSe2N | GGA-PBE | relaxed Values from VASP.

Quantum ESPRESSO input file:
```
&SYSTEM
  ibrav = 0, nat = 5, ntyp = 4
/
ATOMIC_SPECIES
Cs 132.91 Cs.upf
Pt 195.08 Pt.upf
Se 78.96 Se.upf
N 14.01 N.upf
CELL_PARAMETERS angstrom
5.8035 0.0000 0.0000
0.0000 5.8035 0.0000
0.0000 0.0000 3.6962
ATOMIC_POSITIONS crystal
Cs 0.0000 0.0000 0.0000
Pt 0.5000 0.5000 0.5000
Se 0.0000 0.5000 0.5000
Se 0.5000 0.0000 0.5000
N 0.5000 0.5000 0.0000
```

## Properties
- DOS at the Fermi energy (states/eV per atom) = 1.176
- offset from the most stable computed form (meV/atom) = 0.0

=====

CsTePtN2 | GGA-PBE | relaxed Values from VASP.

Quantum ESPRESSO input file:
```
&SYSTEM
  ibrav = 0, nat = 5, ntyp = 4
/
ATOMIC_SPECIES
Cs 132.91 Cs.upf
Te 127.60 Te.upf
Pt 195.08 Pt.upf
N 14.01 N.upf
CELL_PARAMETERS angstrom
4.1782 0.0000 0.0000
0.0000 4.1782 0.0000
0.0000 0.0000 8.1821
ATOMIC_POSITIONS crystal
Cs 0.0000 0.0000 0.0000
Te 0.0000 0.0000 0.5000
Pt 0.5000 0.5000 0.5000
N 0.0000 0.5000 0.0000
N 0.5000 0.0000 0.0000
```

## Properties
- DOS at the Fermi energy (states/eV per atom) = 1.142

=====

CsYPt2N | GGA-PBE | relaxed Values from VASP.

Quantum ESPRESSO input file:
```
&SYSTEM
  ibrav = 0, nat = 5, ntyp = 4
/
ATOMIC_SPECIES
Cs 132.91 Cs.upf
Y 88.91 Y.upf
Pt 195.08 Pt.upf
N 14.01 N.upf
CELL_PARAMETERS angstrom
4.3208 0.0000 0.0000
0.0000 4.3208 0.0000
0.0000 0.0000 5.3318
ATOMIC_POSITIONS crystal
Cs 0.0000 0.0000 0.0000
Y 0.5000 0.5000 0.0000
Pt 0.0000 0.5000 0.5000
Pt 0.5000 0.0000 0.5000
N 0.0000 0.0000 0.5000
```

## Properties
- DOS at the Fermi energy (states/eV per atom) = 0.953

=====

Cs2ZnPtN | GGA-PBE | relaxed Values from VASP.

Quantum ESPRESSO input file:
```
&SYSTEM
  ibrav = 0, nat = 5, ntyp = 4
/
ATOMIC_SPECIES
Cs 132.91 Cs.upf
Zn 65.41 Zn.upf
Pt 195.08 Pt.upf
N 14.01 N.upf
CELL_PARAMETERS angstrom
6.6091 0.0000 0.0000
0.0000 6.6091 0.0000
0.0000 0.0000 3.7776
ATOMIC_POSITIONS crystal
Cs 0.0000 0.5000 0.0000
Cs 0.5000 0.0000 0.0000
Zn 0.0000 0.0000 0.5000
Pt 0.5000 0.5000 0.5000
N 0.5000 0.5000 0.0000
```

## Properties
- DOS at the Fermi energy (states/eV per atom) = 0.607

=====

CsPuReN3 | GGA-PBE | relaxed Values from VASP.

Quantum ESPRESSO input file:
```
&SYSTEM
  ibrav = 0, nat = 12, ntyp = 4
/
ATOMIC_SPECIES
Cs 132.91 Cs.upf
Pu 244.00 Pu.upf
Re 186.21 Re.upf
N 14.01 N.upf
CELL_PARAMETERS angstrom
6.7494 -1.9273 0.0000
6.7494 1.9273 0.0000
-1.8865 0.0000 8.2121
ATOMIC_POSITIONS crystal
Cs 0.1405 0.1405 0.0656
Cs 0.8595 0.8595 0.9344
Pu 0.1604 0.1604 0.5757
Pu 0.8396 0.8396 0.4243
Re 0.4941 0.4941 0.6427
Re 0.5059 0.5059 0.3573
N 0.0105 0.0105 0.3329
N 0.3315 0.3315 0.5942
N 0.3574 0.3574 0.2626
N 0.6426 0.6426 0.7374
N 0.6685 0.6685 0.4058
N 0.9895 0.9895 0.6671
```

## Properties
- DOS at the Fermi energy (states/eV per atom) = 1.281

=====

CsPuReN4 | GGA-PBE | relaxed Values from VASP.

Quantum ESPRESSO input file:
```
&SYSTEM
  ibrav = 0, nat = 14, ntyp = 4
/
ATOMIC_SPECIES
Cs 132.91 Cs.upf
Pu 244.00 Pu.upf
Re 186.21 Re.upf
N 14.01 N.upf
CELL_PARAMETERS angstrom
6.0423 0.0000 0.0000
0.0000 6.0788 0.0000
-2.4828 0.0000 7.9954
ATOMIC_POSITIONS crystal
Cs 0.2091 0.2500 0.4317
Cs 0.7909 0.7500 0.5683
Pu 0.2978 0.2500 0.9579
Pu 0.7022 0.7500 0.0421
Re 0.2392 0.7500 0.1400
Re 0.7608 0.2500 0.8600
N 0.0195 0.7500 0.9403
N 0.0491 0.7500 0.2734
N 0.4416 0.5154 0.1524
N 0.4416 0.9846 0.1524
N 0.5584 0.0154 0.8476
N 0.5584 0.4846 0.8476
N 0.9509 0.2500 0.7266
N 0.9805 0.2500 0.0597
```

## Properties
- DOS at the Fermi energy (states/eV per atom) = 0.833

=====

Cs2PuRe2N6 | GGA-PBE | relaxed Values from VASP.

Quantum ESPRESSO input file:
```
&SYSTEM
  ibrav = 0, nat = 11, ntyp = 4
/
ATOMIC_SPECIES
Cs 132.91 Cs.upf
Pu 244.00 Pu.upf
Re 186.21 Re.upf
N 14.01 N.upf
CELL_PARAMETERS angstrom
3.1897 1.8416 6.2371
-3.1897 1.8416 6.2371
0.0000 -3.6832 6.2371
ATOMIC_POSITIONS crystal
Cs 0.2215 0.2215 0.2215
Cs 0.7785 0.7785 0.7785
Pu 0.0000 0.0000 0.0000
Re 0.4267 0.4267 0.4267
Re 0.5733 0.5733 0.5733
N 0.2442 0.2442 0.7154
N 0.2442 0.7154 0.2442
N 0.2846 0.7558 0.7558
N 0.7154 0.2442 0.2442
N 0.7558 0.2846 0.7558
N 0.7558 0.7558 0.2846
```

## Properties
- DOS at the Fermi energy (states/eV per atom) = 0.585

=====

Cs2PuTc2N6 | GGA-PBE | relaxed Values from VASP.

Quantum ESPRESSO input file:
```
&SYSTEM
  ibrav = 0, nat = 11, ntyp = 4
/
ATOMIC_SPECIES
Cs 132.91 Cs.upf
Pu 244.00 Pu.upf
Tc 98.00 Tc.upf
N 14.01 N.upf
CELL_PARAMETERS angstrom
3.1681 1.8291 6.2023
-3.1681 1.8291 6.2023
0.0000 -3.6582 6.2023
ATOMIC_POSITIONS crystal
Cs 0.2214 0.2214 0.2214
Cs 0.7786 0.7786 0.7786
Pu 0.0000 0.0000 0.0000
Tc 0.4260 0.4260 0.4260
Tc 0.5740 0.5740 0.5740
N 0.2434 0.2434 0.7156
N 0.2434 0.7156 0.2434
N 0.2844 0.7566 0.7566
N 0.7156 0.2434 0.2434
N 0.7566 0.2844 0.7566
N 0.7566 0.7566 0.2844
```

## Properties
- DOS at the Fermi energy (states/eV per atom) = 0.615

=====

CsPuTcN4 | GGA-PBE | relaxed Values from VASP.

Quantum ESPRESSO input file:
```
&SYSTEM
  ibrav = 0, nat = 14, ntyp = 4
/
ATOMIC_SPECIES
Cs 132.91 Cs.upf
Pu 244.00 Pu.upf
Tc 98.00 Tc.upf
N 14.01 N.upf
CELL_PARAMETERS angstrom
5.9946 0.0000 0.0000
0.0000 6.0040 0.0000
-2.4976 0.0000 7.9685
ATOMIC_POSITIONS crystal
Cs 0.2126 0.2500 0.4319
Cs 0.7874 0.7500 0.5681
Pu 0.2980 0.2500 0.9566
Pu 0.7020 0.7500 0.0434
Tc 0.2400 0.7500 0.1402
Tc 0.7600 0.2500 0.8598
N 0.0202 0.7500 0.9413
N 0.0476 0.7500 0.2717
N 0.4469 0.5150 0.1523
N 0.4469 0.9850 0.1523
N 0.5531 0.0150 0.8477
N 0.5531 0.4850 0.8477
N 0.9524 0.2500 0.7283
N 0.9798 0.2500 0.0587
```

## Properties
- DOS at the Fermi energy (states/eV per atom) = 0.692

=====

CsPuVN3 | GGA-PBE | relaxed Values from VASP.

Quantum ESPRESSO input file:
```
&SYSTEM
  ibrav = 0, nat = 12, ntyp = 4
/
ATOMIC_SPECIES
Cs 132.91 Cs.upf
Pu 244.00 Pu.upf
V 50.94 V.upf
N 14.01 N.upf
CELL_PARAMETERS angstrom
8.2306 -1.7497 0.0000
8.2306 1.7497 0.0000
-2.0420 0.0000 7.8362
ATOMIC_POSITIONS crystal
Cs 0.1421 0.1421 0.0519
Cs 0.8579 0.8579 0.9481
Pu 0.1613 0.1613 0.5178
Pu 0.8387 0.8387 0.4822
V 0.4847 0.4847 0.3376
V 0.5153 0.5153 0.6624
N 0.0245 0.0245 0.3071
N 0.2989 0.2989 0.6107
N 0.3761 0.3761 0.3198
N 0.6239 0.6239 0.6802
N 0.7011 0.7011 0.3893
N 0.9755 0.9755 0.6929
```

## Properties
- DOS at the Fermi energy (states/eV per atom) = 1.312

=====

CsPuWN4 | GGA-PBE | relaxed Values from VASP.

Quantum ESPRESSO input file:
```
&SYSTEM
  ibrav = 0, nat = 14, ntyp = 4
/
ATOMIC_SPECIES
Cs 132.91 Cs.upf
Pu 244.00 Pu.upf
W 183.84 W.upf
N 14.01 N.upf
CELL_PARAMETERS angstrom
5.9622 0.0000 0.0000
0.0000 5.9602 0.0000
-0.4120 0.0000 8.2463
ATOMIC_POSITIONS crystal
Cs 0.2278 0.2500 0.1134
Cs 0.7722 0.7500 0.8866
Pu 0.1876 0.7500 0.4650
Pu 0.8124 0.2500 0.5350
W 0.3259 0.2500 0.6467
W 0.6741 0.7500 0.3533
N 0.1159 0.0105 0.6503
N 0.1159 0.4895 0.6503
N 0.3873 0.7500 0.2448
N 0.4500 0.2500 0.4469
N 0.5500 0.7500 0.5531
N 0.6127 0.2500 0.7552
N 0.8841 0.5105 0.3497
N 0.8841 0.9895 0.3497
```

## Properties
- DOS at the Fermi energy (states/eV per atom) = 1.015

=====

Cs2RbN | GGA-PBE | relaxed Values from VASP.

Quantum ESPRESSO input file:
```
&SYSTEM
  ibrav = 0, nat = 16, ntyp = 3
/
ATOMIC_SPECIES
Cs 132.91 Cs.upf
Rb 85.47 Rb.upf
N 14.01 N.upf
CELL_PARAMETERS angstrom
9.2487 0.0000 0.0000
0.0000 9.2487 0.0000
0.0000 0.0000 13.1122
ATOMIC_POSITIONS crystal
Cs 0.0056 0.2500 0.1250
Cs 0.2500 0.5056 0.3750
Cs 0.2500 0.9944 0.8750
Cs 0.4944 0.2500 0.6250
Cs 0.5056 0.7500 0.6250
Cs 0.7500 0.0056 0.8750
Cs 0.7500 0.4944 0.3750
Cs 0.9944 0.7500 0.1250
Rb 0.0000 0.0000 0.5000
Rb 0.0000 0.5000 0.7500
Rb 0.5000 0.0000 0.2500
Rb 0.5000 0.5000 0.0000
N 0.0000 0.0000 0.0000
N 0.0000 0.5000 0.2500
N 0.5000 0.0000 0.7500
N 0.5000 0.5000 0.5000
```

## Properties
- DOS at the Fermi energy (states/eV per atom) = 2.080
- offset from the most stable computed form (meV/atom) = 0.0

=====

| no. | E_form (uncorrected) (eV per atom) |
| --- | --- |
| 1 | 0.24 |
| 2 | 2.48 |
| 3 | 0.68 |
| 4 | 0.01 |
| 5 | -0.49 |
| 6 | -0.46 |
| 7 | -0.36 |
| 8 | -0.25 |
| 9 | -0.37 |
| 10 | -0.70 |
| 11 | -0.49 |
| 12 | 0.70 |